Entry 1:
This record from Alexandria describes an optimized crystal structure of GdHgPt4. The functional is GGA-PBE.

Unit cell a=5.409 b=5.409 c=5.409 alpha=60.00 beta=60.00 gamma=60.00
Fractional positions:
1 Gd 0.250 0.250 0.250
2 Hg 0.000 0.000 0.000
3 Pt 0.625 0.625 0.124
4 Pt 0.625 0.124 0.625
5 Pt 0.625 0.625 0.625
6 Pt 0.124 0.625 0.625

Symmetry: F-43m, No. 216
N(E_F) in states/eV per atom: 0.5404
M_tot in μB/f.u.: 6.91
DFT total energy in eV per atom: -7.1752

***

Entry 2:
This record from Alexandria describes an optimized crystal structure of GdHgPt. The functional is GGA-PBE.

Unit cell a=4.752 b=4.752 c=4.752 alpha=60.00 beta=60.00 gamma=60.00
Fractional positions:
1 Gd 0.000 0.000 0.000
2 Hg 0.500 0.500 0.500
3 Pt 0.250 0.250 0.250

Energy above the lowest structure with this stoichiometry in meV per atom: 0.0
Symmetry: F-43m, No. 216
N(E_F) in states/eV per atom: 0.5747
M_tot in μB/f.u.: 7.09

***

Entry 3:
This record from Alexandria describes an optimized crystal structure of Gd2HgPt. The functional is GGA-PBE.

Unit cell a=4.070 b=4.070 c=8.036 alpha=75.33 beta=75.33 gamma=60.00
Fractional positions:
1 Gd 0.263 0.263 0.210
2 Gd 0.737 0.737 0.790
3 Hg 0.500 0.500 0.500
4 Pt 0.000 0.000 0.000

Energy above the lowest structure with this stoichiometry in meV per atom: 54.0
Symmetry: R-3m, No. 166
N(E_F) in states/eV per atom: 1.0927
M_tot in μB/f.u.: 14.32

***

Entry 4:
This record from Alexandria describes an optimized crystal structure of GdHg2Pt. The functional is GGA-PBE.

Unit cell a=3.231 b=3.231 c=10.708 alpha=81.32 beta=81.32 gamma=60.00
Fractional positions:
1 Gd 0.000 0.000 0.000
2 Hg 0.097 0.097 0.709
3 Hg 0.903 0.903 0.291
4 Pt 0.500 0.500 0.500

Symmetry: R-3m, No. 166
N(E_F) in states/eV per atom: 0.5635
M_tot in μB/f.u.: 7.45
DFT total energy in eV per atom: -4.9700

***

Entry 5:
This record from Alexandria describes an optimized crystal structure of GdHgPt2. The functional is GGA-PBE.

Unit cell a=3.875 b=4.527 c=4.527 alpha=90.00 beta=90.00 gamma=90.00
Fractional positions:
1 Gd 0.500 0.000 0.000
2 Hg 0.500 0.500 0.500
3 Pt 0.000 0.000 0.500
4 Pt 0.000 0.500 0.000

Symmetry: P4/mmm, No. 123
N(E_F) in states/eV per atom: 0.6556
M_tot in μB/f.u.: 7.05
DFT total energy in eV per atom: -7.2664

***

Entry 6:
This record from Alexandria describes an optimized crystal structure of GdHg2Pt. The functional is GGA-PBE.

Unit cell a=4.958 b=4.958 c=4.958 alpha=60.00 beta=60.00 gamma=60.00
Fractional positions:
1 Gd 0.000 0.000 0.000
2 Hg 0.250 0.250 0.250
3 Hg 0.750 0.750 0.750
4 Pt 0.500 0.500 0.500

Symmetry: Fm-3m, No. 225
N(E_F) in states/eV per atom: 0.6147
M_tot in μB/f.u.: 7.29
DFT total energy in eV per atom: -5.6278

***

Entry 7:
This record from Alexandria describes an optimized crystal structure of GdHg2Pt. The functional is GGA-PBE.

Unit cell a=5.026 b=4.235 c=4.235 alpha=90.00 beta=90.00 gamma=90.00
Fractional positions:
1 Gd 0.500 0.000 0.000
2 Hg 0.000 0.000 0.500
3 Hg 0.000 0.500 0.000
4 Pt 0.500 0.500 0.500

Symmetry: P4/mmm, No. 123
N(E_F) in states/eV per atom: 0.6314
M_tot in μB/f.u.: 7.20
DFT total energy in eV per atom: -5.6355

***

Entry 8:
This record from Alexandria describes an optimized crystal structure of GdHgPt2. The functional is GGA-PBE.

Unit cell a=3.648 b=3.648 c=6.029 alpha=90.00 beta=90.00 gamma=90.00
Fractional positions:
1 Gd 0.500 0.500 0.000
2 Hg 0.500 0.500 0.500
3 Pt 0.000 0.000 0.742
4 Pt 0.000 0.000 0.258

Symmetry: P4/mmm, No. 123
N(E_F) in states/eV per atom: 0.3323
M_tot in μB/f.u.: 7.04
DFT total energy in eV per atom: -7.3154